Entry from Alexandria: crystalline AcY2N at its relaxed geometry (PBE-GGA).

Output
Energy above the lowest structure with this stoichiometry ... 0.000 eV/atom
Formation energy from raw total energies ... -0.65 eV per atom
Electronic total energy ... -83.9 eV/cell
Crystal system ... trigonal
Size of the total moment ... 0.034 μB/atom

a b c (Å): 3.5509 3.5509 29.8314
angles (deg): 90.00 90.00 120.00
Space group R-3m (No. 166, hexagonal axes)
Asymmetric unit:
Ac 0.0000 0.0000 0.0000 [3 per cell]
Y 0.0000 0.0000 0.1226 [6 per cell]
N 0.0000 0.0000 0.5000 [3 per cell]

=====

Entry from Alexandria: crystalline AcYN at its relaxed geometry (PBE-GGA).

Output
Energy above the lowest structure with this stoichiometry ... 0.225 eV/atom
Formation energy from raw total energies ... -0.58 eV per atom
Electronic total energy ... -41.3 eV/cell
Crystal system ... tetragonal
Size of the total moment ... 0.000 μB/atom

a b c (Å): 3.4138 3.4138 14.4740
angles (deg): 90.00 90.00 90.00
Space group I4mm (No. 107)
Asymmetric unit:
Ac 0.0000 0.0000 0.0000 [2 per cell]
Y 0.0000 0.0000 0.7013 [2 per cell]
N 0.0000 0.0000 0.1709 [2 per cell]

=====

Entry from Alexandria: crystalline AcYZrN3 at its relaxed geometry (PBE-GGA).

Output
Formation energy from raw total energies ... -1.40 eV per atom
Electronic total energy ... -105.1 eV/cell
Crystal system ... monoclinic
Size of the total moment ... 0.000 μB/atom

a b c (Å): 6.1174 3.5861 9.0128
angles (deg): 90.00 102.68 90.00
Space group P2_1/m (No. 11)
Asymmetric unit:
Ac 0.1468 0.2500 0.1956 [2 per cell]
Y 0.2672 0.7500 0.5440 [2 per cell]
Zr 0.3668 0.2500 0.8559 [2 per cell]
N 0.0635 0.2500 0.6683 [2 per cell]
N 0.2855 0.7500 0.9738 [2 per cell]
N 0.4616 0.7500 0.3357 [2 per cell]

=====

Question: Among the records above, which one has the highest formation energy from raw total energies?
Answer: AcYN

=====

Question: size of the total moment of number 3 (AcYZrN3)?
Answer: 0.000 μB/atom